## ReIr2Rh3 (PBE)

Data for a relaxed structure of ReIr2Rh3.

Output
**ΔE_f**: -2.1 kcal/mol of atoms

abc: 5.4480 3.8491 8.2356
angles: 90.00 90.37 90.00
Element x y z (fractional)
Re 0.1297 0.2500 0.2457
Re 0.8703 0.7500 0.7543
Ir 0.1207 0.2500 0.9182
Ir 0.3710 0.7500 0.4109
Ir 0.6290 0.2500 0.5891
Ir 0.8793 0.7500 0.0818
Rh 0.1232 0.2500 0.5827
Rh 0.3738 0.7500 0.0910
Rh 0.3737 0.7500 0.7460
Rh 0.6263 0.2500 0.2540
Rh 0.6262 0.2500 0.9090
Rh 0.8768 0.7500 0.4173